The following is a PBE calculation of DyTm2Pd2 after structural relaxation, from Alexandria via LeMat-Bulk.

```
10
Lattice="4.583 0.000 0.000 0.000 5.363 -0.678 0.000 -2.625 10.556" Properties=species:S:1:pos:R:3 pbc="T T T"
Tm 3.437 0.921 1.098
Tm 3.437 2.592 4.437
Tm 1.146 1.816 8.781
Tm 1.146 0.146 5.442
Pd 3.437 3.560 -0.159
Pd 1.146 -0.822 10.038
Pd 1.146 3.006 6.143
Pd 3.437 -0.268 3.736
Dy 1.146 3.746 1.722
Dy 3.437 -1.008 8.156
```

As for the space-group type: No. 11. The value obtained for the total moment is 0.000 μB/atom. Its relative energy among the computed polymorphs is 0.0499 eV per atom. For the formation energy, the calculation gives -0.71 eV/atom. As for the crystal system: monoclinic. The volume comes out at 251.30 Å³ per cell. The calculation puts the total DFT energy (no corrections) at -5.492 eV/atom.